An optimized crystal structure of Tb4Co2Ni, computed with PBE.

**E_form**: -0.077 eV/atom
**Density of states at the Fermi level**: 0.4193 states/eV/atom
**Final energy**: -0.410 Ry per atom

```
14
Lattice="7.530 -0.645 0.234 -1.186 7.464 -0.235 -2.785 -3.769 5.934" Properties=species:S:1:pos:R:3 pbc="T T T"
Tb 5.089 3.572 1.234
Tb 3.931 -2.435 4.321
Tb 5.859 -0.210 1.830
Tb 4.112 1.411 4.334
Tb 2.030 -0.666 1.851
Tb 0.408 1.566 4.702
Tb 1.279 3.123 1.249
Tb 0.237 -2.271 4.681
Co -1.594 -0.114 4.387
Co 2.176 -0.429 4.508
Co 2.973 5.196 1.430
Co 3.564 1.448 1.540
Ni -1.085 2.814 2.848
Ni -2.095 -3.028 5.933
```